Compound: Li2BeAs
Source: Alexandria
Functional: PBE-GGA
Structure: relaxed Values from VASP.

```
&SYSTEM
  ibrav = 0, nat = 8, ntyp = 3
/
ATOMIC_SPECIES
Be 9.01 Be.upf
As 74.92 As.upf
Li 6.94 Li.upf
CELL_PARAMETERS angstrom
3.608 0.000 0.000
0.000 3.608 0.000
1.804 1.804 8.903
ATOMIC_POSITIONS angstrom
Be 1.804 1.804 0.000
Be 1.804 3.608 4.452
As 0.000 0.000 0.000
As 3.608 1.804 4.452
Li 2.740 0.902 2.226
Li 0.868 2.706 2.226
Li 2.706 2.673 6.677
Li 4.510 4.544 6.677
```

Properties
Size of the total moment in μB per formula unit: 0.00
Space group: I-42d (122)
Energy of formation from the pure elements in eV/atom: 0.050
D(E_F) in states/eV per cell: 2.80
ΔE to the lowest computed polymorph in eV per atom: 0.283
Total energy in eV per atom: -3.001
Calculated volume in A^3/atom: 14.5



Compound: Li3BeAs
Source: Alexandria
Functional: PBE-GGA
Structure: relaxed Values from VASP.

```
&SYSTEM
  ibrav = 0, nat = 5, ntyp = 3
/
ATOMIC_SPECIES
Be 9.01 Be.upf
As 74.92 As.upf
Li 6.94 Li.upf
CELL_PARAMETERS angstrom
-1.538 2.631 3.159
-0.187 -3.415 2.753
4.107 0.830 1.308
ATOMIC_POSITIONS angstrom
Be 0.000 0.000 0.000
As 1.191 0.023 3.610
Li -0.094 -1.707 1.376
Li 2.054 0.415 0.654
Li -0.769 1.316 1.580
```

Properties
Size of the total moment in μB per formula unit: 0.00
Space group: Pm-3m (221)
Energy of formation from the pure elements in eV/atom: 0.355
D(E_F) in states/eV per cell: 0.36
ΔE to the lowest computed polymorph in eV per atom: 0.177
Total energy in eV per atom: -2.468
Calculated volume in A^3/atom: 16.9



Compound: LiBe2As
Source: Alexandria
Functional: PBE-GGA
Structure: relaxed Values from VASP.

```
&SYSTEM
  ibrav = 0, nat = 4, ntyp = 3
/
ATOMIC_SPECIES
As 74.92 As.upf
Be 9.01 Be.upf
Li 6.94 Li.upf
CELL_PARAMETERS angstrom
4.109 0.025 0.013
3.219 2.554 0.013
1.091 0.384 5.287
ATOMIC_POSITIONS angstrom
As 2.228 0.784 1.061
Be 8.286 2.915 5.004
Be 6.254 2.200 4.429
Li 4.278 1.505 2.786
```

Properties
Size of the total moment in μB per formula unit: 0.00
Space group: Cm (8)
Energy of formation from the pure elements in eV/atom: 0.194
D(E_F) in states/eV per cell: 0.88
ΔE to the lowest computed polymorph in eV per atom: 0.117
Total energy in eV per atom: -3.310
Calculated volume in A^3/atom: 13.8



Compound: Li3BeAs
Source: Alexandria
Functional: PBE-GGA
Structure: relaxed Values from VASP.

```
&SYSTEM
  ibrav = 0, nat = 5, ntyp = 3
/
ATOMIC_SPECIES
Be 9.01 Be.upf
As 74.92 As.upf
Li 6.94 Li.upf
CELL_PARAMETERS angstrom
-4.116 -2.509 0.032
1.559 -2.508 3.810
-1.967 3.264 2.953
ATOMIC_POSITIONS angstrom
Be -2.262 -0.877 3.398
As 0.000 0.000 0.000
Li 0.780 -1.254 1.905
Li -0.983 1.632 1.477
Li -2.058 -1.255 0.016
```

Properties
Size of the total moment in μB per formula unit: 0.00
Space group: Pm-3m (221)
Energy of formation from the pure elements in eV/atom: 0.178
D(E_F) in states/eV per cell: 0.12
ΔE to the lowest computed polymorph in eV per atom: 0.000
Total energy in eV per atom: -2.645
Calculated volume in A^3/atom: 22.4



Compound: Li2BeAs2
Source: Alexandria
Functional: PBE-GGA
Structure: relaxed Values from VASP.

```
&SYSTEM
  ibrav = 0, nat = 5, ntyp = 3
/
ATOMIC_SPECIES
Li 6.94 Li.upf
Be 9.01 Be.upf
As 74.92 As.upf
CELL_PARAMETERS angstrom
2.856 0.000 0.000
0.000 2.856 0.000
0.000 0.000 11.871
ATOMIC_POSITIONS angstrom
Li 1.428 1.428 7.247
Li 1.428 1.428 4.624
Be 1.428 1.428 0.000
As 1.428 1.428 2.129
As 1.428 1.428 9.741
```

Properties
Size of the total moment in μB per formula unit: 0.00
Space group: P4/mmm (123)
Energy of formation from the pure elements in eV/atom: 0.175
D(E_F) in states/eV per cell: 1.82
ΔE to the lowest computed polymorph in eV per atom: 0.513
Total energy in eV per atom: -3.195
Calculated volume in A^3/atom: 19.4



Compound: LiBeAs2
Source: Alexandria
Functional: PBE-GGA
Structure: relaxed Values from VASP.

```
&SYSTEM
  ibrav = 0, nat = 4, ntyp = 3
/
ATOMIC_SPECIES
As 74.92 As.upf
Be 9.01 Be.upf
Li 6.94 Li.upf
CELL_PARAMETERS angstrom
-1.793 4.720 2.287
-3.149 4.404 -1.188
-3.447 -0.492 1.389
ATOMIC_POSITIONS angstrom
As -6.135 8.332 1.637
As -5.768 5.936 1.711
Be -3.858 4.977 1.053
Li -1.761 2.825 0.430
```

Properties
Size of the total moment in μB per formula unit: 0.00
Space group: Cm (8)
Energy of formation from the pure elements in eV/atom: -0.212
D(E_F) in states/eV per cell: 1.54
ΔE to the lowest computed polymorph in eV per atom: 0.000
Total energy in eV per atom: -3.947
Calculated volume in A^3/atom: 17.1



Compound: Li2BeAs
Source: Alexandria
Functional: PBE-GGA
Structure: relaxed Values from VASP.

```
&SYSTEM
  ibrav = 0, nat = 4, ntyp = 3
/
ATOMIC_SPECIES
As 74.92 As.upf
Be 9.01 Be.upf
Li 6.94 Li.upf
CELL_PARAMETERS angstrom
4.591 -0.013 0.000
-1.939 4.161 0.000
0.000 0.000 2.851
ATOMIC_POSITIONS angstrom
As 2.295 -0.007 1.426
Be -0.970 2.080 1.426
Li 0.000 0.000 0.000
Li 1.326 2.074 0.000
```

Properties
Size of the total moment in μB per formula unit: 0.00
Space group: Cmmm (65)
Energy of formation from the pure elements in eV/atom: -0.086
D(E_F) in states/eV per cell: 1.32
ΔE to the lowest computed polymorph in eV per atom: 0.147
Total energy in eV per atom: -3.137
Calculated volume in A^3/atom: 13.6



Compound: LiBeAs2
Source: Alexandria
Functional: PBE-GGA
Structure: relaxed Values from VASP.

```
&SYSTEM
  ibrav = 0, nat = 4, ntyp = 3
/
ATOMIC_SPECIES
As 74.92 As.upf
Be 9.01 Be.upf
Li 6.94 Li.upf
CELL_PARAMETERS angstrom
4.485 0.000 0.000
2.243 3.884 0.000
2.243 1.295 3.662
ATOMIC_POSITIONS angstrom
As 0.000 0.000 0.000
As 2.243 1.295 0.916
Be 4.485 2.590 1.831
Li 6.728 3.884 2.747
```

Properties
Size of the total moment in μB per formula unit: 0.00
Space group: F-43m (216)
Energy of formation from the pure elements in eV/atom: 0.319
D(E_F) in states/eV per cell: 2.07
ΔE to the lowest computed polymorph in eV per atom: 0.531
Total energy in eV per atom: -3.415
Calculated volume in A^3/atom: 15.9